{
  "formula": "K2OsWO6",
  "functional": "GGA+U",
  "state": "optimized geometry",
  "lattice_angstrom": [[3.945, 0.000, 0.000], [0.000, 5.629, 0.000], [0.000, 0.000, 5.629]],
  "species": ["O", "K", "W", "O", "O", "O", "Os", "O", "O", "K"],
  "fractional_positions": [[0.645, 0.245, 0.755], [0.145, 0.500, 0.000], [0.645, 0.000, 0.000], [0.645, 0.755, 0.245], [0.145, 0.500, 0.500], [0.645, 0.245, 0.245], [0.645, 0.500, 0.500], [0.145, 0.000, 0.000], [0.645, 0.755, 0.755], [0.145, 0.000, 0.500]],
  "m_tot_mub_per_fu": 0.675,
  "e_tot_ev_per_atom": -6.69
}